No. 1
LiSc2Ag (PBE-GGA, relaxed); volume = 82 Å³/cell; D(E_F) = 4.28 states/eV/cell; ΔH_f (0 K) = -0.1 eV per formula unit
1.0
4.648 0.000 0.000
0.000 1.593 5.545
0.000 -1.593 5.545
Li Sc Ag
1 2 1
Direct
0.000 0.000 0.000
0.000 0.268 0.268
0.500 0.593 0.593
0.500 0.863 0.863

No. 2
Ca2HoAu4 (PBE-GGA, relaxed); volume = 176 Å³/cell; D(E_F) = 4.49 states/eV/cell; ΔH_f (0 K) = -4.6 eV per formula unit
1.0
-2.581 2.581 6.619
2.581 -2.581 6.619
2.581 2.581 -6.619
Ca Ho Au
2 1 4
Direct
0.227 0.227 0.000
0.773 0.773 0.000
0.500 0.500 0.000
0.113 0.613 0.500
0.387 0.887 0.500
0.613 0.113 0.500
0.887 0.387 0.500

No. 3
Ac4As2IrSe (PBE-GGA, relaxed); volume = 256 Å³/cell; D(E_F) = 3.92 states/eV/cell; formation energy from raw total energies = -1341 meV per atom
1.0
7.734 0.000 0.000
0.000 4.473 0.000
-2.524 0.000 7.399
Ac As Ir Se
4 2 1 1
Direct
0.242 0.000 0.237
0.246 0.500 0.765
0.754 0.500 0.235
0.758 0.000 0.763
0.500 0.000 0.000
0.500 0.500 0.500
0.000 0.500 0.000
0.000 0.000 0.500

No. 4
Dy2CdCu2 (PBE-GGA, relaxed); volume = 212 Å³/cell; D(E_F) = 10.41 states/eV/cell; ΔH_f (0 K) = -1.6 eV per formula unit
1.0
7.499 0.000 0.000
0.000 7.499 0.000
0.000 0.000 3.768
Dy Cd Cu
4 2 4
Direct
0.174 0.326 0.000
0.326 0.826 0.000
0.674 0.174 0.000
0.826 0.674 0.000
0.000 0.000 0.500
0.500 0.500 0.500
0.120 0.620 0.500
0.380 0.120 0.500
0.620 0.880 0.500
0.880 0.380 0.500

No. 5
PmDy9Y2 (PBE-GGA, relaxed); volume = 384 Å³/cell; D(E_F) = 16.74 states/eV/cell; energy above the most stable polymorph in this dataset = 30 kJ/mol of formula units; ΔH_f (0 K) = 0.6 eV per formula unit
1.0
11.258 0.000 0.000
-5.629 9.750 0.000
0.000 0.000 3.502
Pm Dy Y
1 9 2
Direct
0.000 0.000 0.000
0.000 0.500 0.000
0.177 0.354 0.500
0.177 0.823 0.500
0.354 0.177 0.500
0.500 0.000 0.000
0.500 0.500 0.000
0.646 0.823 0.500
0.823 0.177 0.500
0.823 0.646 0.500
0.333 0.667 0.000
0.667 0.333 0.000

No. 6
NaTl2Sn2 (PBE-GGA, relaxed); volume = 161 Å³/cell; D(E_F) = 2.00 states/eV/cell; energy above the most stable polymorph in this dataset = 15 kJ/mol of formula units; ΔH_f (0 K) = -0.1 eV per formula unit
1.0
-2.218 2.218 8.157
2.218 -2.218 8.157
2.218 2.218 -8.157
Na Tl Sn
1 2 2
Direct
0.000 0.000 0.000
0.396 0.396 0.000
0.604 0.604 0.000
0.250 0.750 0.500
0.750 0.250 0.500

No. 7
Zn4GaPt15 (PBE-GGA, relaxed); volume = 304 Å³/cell; D(E_F) = 18.08 states/eV/cell; ΔH_f (0 K) = -7.0 eV per formula unit
1.0
3.926 0.000 0.000
0.000 3.926 0.000
0.000 0.000 19.752
Zn Ga Pt
4 1 15
Direct
0.000 0.000 0.100
0.000 0.000 0.300
0.000 0.000 0.700
0.000 0.000 0.900
0.000 0.000 0.500
0.000 0.500 0.000
0.000 0.500 0.200
0.000 0.500 0.400
0.000 0.500 0.600
0.000 0.500 0.800
0.500 0.000 0.000
0.500 0.000 0.200
0.500 0.000 0.400
0.500 0.000 0.600
0.500 0.000 0.800
0.500 0.500 0.100
0.500 0.500 0.300
0.500 0.500 0.500
0.500 0.500 0.700
0.500 0.500 0.900

No. 8
KSCl2F (PBE-GGA, relaxed); volume = 125 Å³/cell; D(E_F) = 4.14 states/eV/cell; energy above the most stable polymorph in this dataset = 0 kJ/mol of formula units; formation energy from raw total energies = -520 meV per atom
1.0
5.805 0.000 0.000
0.000 5.805 0.000
0.000 0.000 3.705
K S Cl F
1 1 2 1
Direct
0.000 0.000 0.000
0.500 0.500 0.000
0.000 0.500 0.500
0.500 0.000 0.500
0.500 0.500 0.500

No. 9
NaCu3PbSe4 (PBE-GGA, relaxed); volume = 233 Å³/cell; D(E_F) = 7.19 states/eV/cell; formation energy from raw total energies = -56 meV per atom
1.0
6.156 0.000 0.000
0.000 6.156 0.000
0.000 0.000 6.156
Na Cu Pb Se
1 3 1 4
Direct
0.000 0.000 0.000
0.000 0.500 0.500
0.500 0.000 0.500
0.500 0.500 0.000
0.500 0.500 0.500
0.254 0.254 0.746
0.254 0.746 0.254
0.746 0.254 0.254
0.746 0.746 0.746

No. 10
TbSmMgIr (PBE-GGA, relaxed); volume = 93 Å³/cell; D(E_F) = 2.59 states/eV/cell; ΔH_f (0 K) = -1.6 eV per formula unit
1.0
0.000 3.600 3.600
3.600 0.000 3.600
3.600 3.600 0.000
Tb Sm Mg Ir
1 1 1 1
Direct
0.000 0.000 0.000
0.500 0.500 0.500
0.250 0.250 0.250
0.750 0.750 0.750

No. 11
InB4Ir4 (PBE-GGA, relaxed); volume = 238 Å³/cell; D(E_F) = 5.69 states/eV/cell; ΔH_f (0 K) = -1.3 eV per formula unit
1.0
7.621 0.000 0.000
0.000 7.621 0.000
0.000 0.000 4.092
In B Ir
2 8 8
Direct
0.250 0.250 0.250
0.750 0.750 0.750
0.049 0.582 0.636
0.082 0.951 0.136
0.418 0.549 0.136
0.451 0.918 0.636
0.549 0.082 0.364
0.582 0.451 0.864
0.918 0.049 0.864
0.951 0.418 0.364
0.090 0.858 0.635
0.142 0.590 0.135
0.358 0.910 0.135
0.410 0.642 0.635
0.590 0.358 0.365
0.642 0.090 0.865
0.858 0.410 0.865
0.910 0.142 0.365

No. 12
Er5Mg2Sc4 (PBE-GGA, relaxed); volume = 310 Å³/cell; D(E_F) = 17.09 states/eV/cell; ΔH_f (0 K) = 2.6 eV per formula unit
1.0
-1.663 4.269 10.897
1.663 -4.269 10.897
1.663 4.269 -10.897
Er Mg Sc
5 2 4
Direct
0.000 0.000 0.000
0.057 0.355 0.702
0.346 0.645 0.702
0.654 0.355 0.298
0.943 0.645 0.298
0.405 0.905 0.500
0.595 0.095 0.500
0.270 0.770 0.500
0.320 0.500 0.820
0.680 0.500 0.180
0.730 0.230 0.500